# FeRe2Rh, relaxed, DFT PBE-GGA
# Volume   14.38 A^3/atom
# Magnetization   6.30 Bohr magnetons per cell
# E above lowest polymorph   226 meV per atom
data_FeRe2Rh
_chemical_formula_sum 'Fe2 Re4 Rh2'
_space_group_name_H-M_alt 'C m m 2'
_space_group_IT_number 35
_space_group_name_Hall 'C 2 -2'
_cell_length_a 2.9741
_cell_length_b 4.4267
_cell_length_c 8.7373
_cell_angle_alpha 90.00
_cell_angle_beta 90.00
_cell_angle_gamma 90.00
loop_
_atom_site_label
_atom_site_type_symbol
_atom_site_fract_x
_atom_site_fract_y
_atom_site_fract_z
Fe1 Fe 0.0000 0.0000 0.0000
Re1 Re 0.0000 0.0000 0.5008
Re2 Re 0.0000 0.5000 0.7570
Rh1 Rh 0.0000 0.5000 0.2408